The following is a PBE calculation of a geometry-optimized Ca2Zn2Au15 structure, from Alexandria via LeMat-Bulk.

Results
Its volume is 20.090 Å³/atom. As for the total magnetic moment: 0.00 μB per formula unit. For the density of states at the Fermi level, the calculation gives 0.261 states/eV per atom. For the formation enthalpy at 0 K, the calculation gives -256 meV/atom. The raw total energy is -3.19 eV per atom.

a b c (Å): 9.6114 9.6114 14.3140
angles (deg): 90.00 90.00 120.00
Space group R-3m (No. 166, hexagonal axes)
Inequivalent atoms, fractional coordinates:
1 Ca 0.0000 0.0000 0.1539 x6
2 Zn 0.0000 0.0000 0.4019 x6
3 Au 0.0000 0.3130 0.5000 x18
4 Au 0.0000 0.5000 0.0000 x9
5 Au 0.0031 0.5015 0.6565 x18

=====

The following is a PBE calculation of a geometry-optimized CaZn6Au2 structure, from Alexandria via LeMat-Bulk.

Results
Its volume is 18.564 Å³/atom. As for the total magnetic moment: 0.00 μB per formula unit. For the density of states at the Fermi level, the calculation gives 0.419 states/eV per atom. For the formation enthalpy at 0 K, the calculation gives -174 meV/atom. As for the energy above the most stable polymorph in this dataset: 93 meV per atom. The raw total energy is -1.97 eV per atom.

a b c (Å): 4.1967 6.4671 12.3118
angles (deg): 90.00 90.00 90.00
Space group Immm (No. 71)
Inequivalent atoms, fractional coordinates:
1 Ca 0.0000 0.0000 0.0000 x2
2 Zn 0.0000 0.1873 0.5000 x4
3 Zn 0.0000 0.2914 0.3080 x8
4 Au 0.0000 0.5000 0.1213 x4

=====

The following is a PBE calculation of a geometry-optimized Ca2Zn5Au5 structure, from Alexandria via LeMat-Bulk.

Results
Its volume is 19.363 Å³/atom. As for the total magnetic moment: 0.00 μB per formula unit. For the density of states at the Fermi level, the calculation gives 0.363 states/eV per atom. For the formation enthalpy at 0 K, the calculation gives -463 meV/atom. The raw total energy is -2.69 eV per atom.

a b c (Å): 4.4709 5.3846 9.6517
angles (deg): 90.00 90.00 90.00
Space group Pmmm (No. 47)
Inequivalent atoms, fractional coordinates:
1 Ca 0.0000 0.0000 0.0000 x1
2 Ca 0.0000 0.5000 0.5000 x1
3 Zn 0.5000 0.0000 0.5000 x1
4 Zn 0.5000 0.2481 0.2495 x4
5 Au 0.0000 0.0000 0.3353 x2
6 Au 0.0000 0.5000 0.1837 x2
7 Au 0.5000 0.5000 0.0000 x1

=====

The following is a PBE calculation of a geometry-optimized CaZn3Au6 structure, from Alexandria via LeMat-Bulk.

Results
Its volume is 19.203 Å³/atom. As for the total magnetic moment: 0.00 μB per formula unit. For the density of states at the Fermi level, the calculation gives 0.281 states/eV per atom. For the formation enthalpy at 0 K, the calculation gives -314 meV/atom. The raw total energy is -2.86 eV per atom.

a b c (Å): 5.7311 5.7367 7.4676
angles (deg): 68.04 67.99 60.17
Space group P1 (No. 1)
Inequivalent atoms, fractional coordinates:
1 Ca 0.0000 0.0000 0.0000 x1
2 Zn 0.2967 0.2960 0.1095 x1
3 Zn 0.6306 0.6305 0.1071 x1
4 Zn 0.8413 0.8428 0.4728 x1
5 Au 0.0696 0.5644 0.7954 x1
6 Au 0.3255 0.8629 0.4159 x1
7 Au 0.3954 0.3266 0.4163 x1
8 Au 0.5645 0.5671 0.7943 x1
9 Au 0.5674 0.0685 0.7969 x1
10 Au 0.8636 0.3934 0.4158 x1

=====

The following is a PBE calculation of a geometry-optimized CaZn2Au8 structure, from Alexandria via LeMat-Bulk.

Results
Its volume is 23.529 Å³/atom. As for the total magnetic moment: 0.00 μB per formula unit. For the density of states at the Fermi level, the calculation gives 0.213 states/eV per atom. For the formation enthalpy at 0 K, the calculation gives -148 meV/atom. As for the energy above the most stable polymorph in this dataset: 135 meV per atom. The raw total energy is -2.95 eV per atom.

a b c (Å): 5.5166 5.5166 8.5048
angles (deg): 90.00 90.00 90.00
Space group P4/mmm (No. 123)
Inequivalent atoms, fractional coordinates:
1 Ca 0.0000 0.0000 0.0000 x1
2 Zn 0.0000 0.5000 0.5000 x2
3 Au 0.2518 0.2518 0.2807 x8

=====

The following is a PBE calculation of a geometry-optimized Ca6ZnAu2 structure, from Alexandria via LeMat-Bulk.

Results
Its volume is 30.582 Å³/atom. As for the total magnetic moment: 0.00 μB per formula unit. For the density of states at the Fermi level, the calculation gives 0.865 states/eV per atom. For the formation enthalpy at 0 K, the calculation gives -443 meV/atom. The raw total energy is -2.65 eV per atom.

a b c (Å): 9.6820 10.0832 11.2775
angles (deg): 90.00 90.00 90.00
Space group Immm (No. 71)
Inequivalent atoms, fractional coordinates:
1 Ca 0.0000 0.1910 0.2448 x8
2 Ca 0.1899 0.5000 0.1578 x8
3 Ca 0.2123 0.3229 0.5000 x8
4 Zn 0.0000 0.0000 0.0000 x2
5 Zn 0.0000 0.0000 0.5000 x2
6 Au 0.0000 0.3123 0.0000 x4
7 Au 0.0000 0.5000 0.3649 x4